No. 1
ThAl2Sn | Alexandria via LeMat-Bulk | GGA-PBE | optimized geometry; space group = P4/mmm (123); energy of formation = -339 meV/atom
1.0
-3.528 2.681 0.591
-2.786 -3.616 -0.225
0.344 -0.546 4.525
Sn Th Al
1 1 2
direct
0.500 0.000 0.000
0.500 0.500 0.500
0.000 0.000 0.500
0.000 0.500 0.000


No. 2
CePm2I | Alexandria via LeMat-Bulk | GGA-PBE | optimized geometry; formation energy without anion corrections = -277 meV per atom; space group = P4/mmm (123)
1.0
-3.041 -0.798 1.921
-1.743 -0.879 -3.125
2.976 -9.144 0.913
I Ce Pm
1 1 2
direct
0.500 0.500 0.500
0.500 0.500 0.000
0.000 0.000 0.746
0.000 0.000 0.254